Record 1
! PBE Y2SbMo, relaxed; values from VASP
! total energy	-7.094	eV per atom
! raw formation energy	-124	meV per atom
! theoretical density	6.74	g/cm³
! space group	Imm2, No. 44
&SYSTEM
  ibrav = 0, nat = 4, ntyp = 3
/
ATOMIC_SPECIES
Y 88.91 Y.upf
Sb 121.76 Sb.upf
Mo 95.94 Mo.upf
CELL_PARAMETERS angstrom
-1.8404 2.4752 5.3481
1.8404 -2.4752 5.3481
1.8404 2.4752 -5.3481
ATOMIC_POSITIONS crystal
Y 0.0000 0.0000 0.0000
Y 0.7239 0.2239 0.5000
Sb 0.4372 0.4372 0.0000
Mo 0.2426 0.7426 0.5000

Record 2
! PBE Re2SbIr, relaxed; values from VASP
! total energy	-8.930	eV per atom
! raw formation energy	539	meV per atom
! theoretical density	16.88	g/cm³
! space group	Pmmm, No. 47
&SYSTEM
  ibrav = 0, nat = 4, ntyp = 3
/
ATOMIC_SPECIES
Re 186.21 Re.upf
Sb 121.76 Sb.upf
Ir 192.22 Ir.upf
CELL_PARAMETERS angstrom
2.7933 0.0000 0.0000
0.0000 3.7691 0.0000
0.0000 0.0000 6.4149
ATOMIC_POSITIONS crystal
Re 0.0000 0.0000 0.2117
Re 0.0000 0.0000 0.7883
Sb 0.5000 0.5000 0.5000
Ir 0.5000 0.5000 0.0000

Record 3
! PBE LiCa2Sb4Pd3, relaxed; values from VASP
! total energy	-4.503	eV per atom
! raw formation energy	-704	meV per atom
! theoretical density	6.39	g/cm³
! space group	P-4m2, No. 115
&SYSTEM
  ibrav = 0, nat = 10, ntyp = 4
/
ATOMIC_SPECIES
Li 6.94 Li.upf
Ca 40.08 Ca.upf
Sb 121.76 Sb.upf
Pd 106.42 Pd.upf
CELL_PARAMETERS angstrom
4.5351 0.0000 0.0000
0.0000 4.5351 0.0000
0.0000 0.0000 11.2873
ATOMIC_POSITIONS crystal
Li 0.0000 0.0000 0.0000
Ca 0.0000 0.5000 0.7634
Ca 0.5000 0.0000 0.2366
Sb 0.0000 0.0000 0.5000
Sb 0.0000 0.5000 0.1340
Sb 0.5000 0.0000 0.8660
Sb 0.5000 0.5000 0.5000
Pd 0.0000 0.5000 0.3668
Pd 0.5000 0.0000 0.6332
Pd 0.5000 0.5000 0.0000

Record 4
! PBE PmThZr2, relaxed; values from VASP
! total energy	-7.143	eV per atom
! theoretical density	8.38	g/cm³
! space group	R-3m, No. 166
! formation energy	173	meV per atom
&SYSTEM
  ibrav = 0, nat = 4, ntyp = 3
/
ATOMIC_SPECIES
Pm 145.00 Pm.upf
Th 232.04 Th.upf
Zr 91.22 Zr.upf
CELL_PARAMETERS angstrom
1.7093 0.9869 10.9575
-1.7093 0.9869 10.9575
0.0000 -1.9737 10.9575
ATOMIC_POSITIONS crystal
Pm 0.0000 0.0000 0.0000
Th 0.5000 0.5000 0.5000
Zr 0.2475 0.2475 0.2475
Zr 0.7525 0.7525 0.7525